VASP calculation (GGA-PBE) on a relaxed AcSiTc2Ge2 crystal.

The calculation puts the total magnetic moment at 0.0 μB/f.u. The uncorrected formation energy is -0.271 eV/atom. The calculation puts the density of states at the Fermi level at 3.85 states/eV/f.u.

a = 4.534 Å, b = 4.534 Å, c = 5.871 Å
α = 90.00°, β = 90.00°, γ = 90.00°
Atoms (fractional coordinates):
Ac  0.000  0.000  0.000
Si  0.000  0.000  0.500
Tc  0.000  0.500  0.500
Tc  0.500  0.000  0.500
Ge  0.500  0.500  0.243
Ge  0.500  0.500  0.757